VASP calculation (PBE) on crystalline Ba3LaRu at its relaxed geometry.

- Mass density: 4.999 g/cm3
- ΔH_f (0 K): 0.43 eV/atom
- Energy: -3.565 eV per atom

Unit cell a=6.0051 b=6.0051 c=6.0051 alpha=90.00 beta=90.00 gamma=90.00
Closest atoms and distances in Å follow each position.
Fractional coordinates of all 5 atoms:
Ru (0.0000, 0.0000, 0.0000)  6 Ba 3.00
Ba (0.0000, 0.5000, 0.0000)  2 Ru 3.00
Ba (0.0000, 0.0000, 0.5000)  2 Ru 3.00
Ba (0.5000, 0.0000, 0.0000)  2 Ru 3.00
La (0.5000, 0.5000, 0.5000)  12 Ba 4.25